Entry from Alexandria: an optimized crystal structure of CrMoPb2O6 (PBE+U).

CIF file:
```
data_CrMoPb2O6
_chemical_formula_sum 'Cr1 Mo1 Pb2 O6'
_symmetry_space_group_name_H-M 'P 1'
_symmetry_Int_Tables_number 1
_symmetry_space_group_name_Hall 'P 1'
_cell_length_a 5.704
_cell_length_b 5.704
_cell_length_c 4.093
_cell_angle_alpha 90.00
_cell_angle_beta 90.00
_cell_angle_gamma 90.00
loop_
_atom_site_label
_atom_site_type_symbol
_atom_site_fract_x
_atom_site_fract_y
_atom_site_fract_z
Cr1 Cr 0.000 0.000 0.000
Mo1 Mo 0.500 0.500 0.950
Pb1 Pb 0.000 0.500 0.417
Pb2 Pb 0.500 0.000 0.417
O1 O 0.000 0.000 0.506
O2 O 0.255 0.255 0.029
O3 O 0.255 0.745 0.029
O4 O 0.500 0.500 0.504
O5 O 0.745 0.255 0.029
O6 O 0.745 0.745 0.029
```

Output
M_tot = 4.00 μB/f.u.
Energy = -6.6347 eV per atom